VASP calculation (PBE) on a relaxed structure of BeFe4.

Properties
- total magnetization (μB per cell) = 1.008
- energy above the most stable polymorph in this dataset (meV/atom) = 0.0
- E (eV/atom) = -6.95
- ρ (g/cm3) = 6.7

Unit cell a=5.705 b=5.705 c=5.705 alpha=145.94 beta=145.94 gamma=48.94
Sites, in units of the cell vectors:
Fe 0.750 0.250 0.500
Fe 0.403 0.403 0.000
Fe 0.250 0.750 0.500
Fe 0.597 0.597 0.000
Be 0.000 0.000 0.000